# 1
# Tl2SnPb12 | the Alexandria database | PBE | relaxed
# Formation enthalpy at 0 K ... 99.9 meV per atom
data_Tl2SnPb12
_cell_length_a 6.6722
_cell_length_b 6.6722
_cell_length_c 23.2554
_cell_angle_alpha 90.00
_cell_angle_beta 90.00
_cell_angle_gamma 90.00
_symmetry_space_group_name_H-M 'P 4/n b m'
_symmetry_Int_Tables_number 125
loop_
_symmetry_equiv_pos_as_xyz
'x,y,z'
'-x,-y,-z'
'-y+1/2,x,z'
'y+1/2,-x,-z'
'-x+1/2,-y+1/2,z'
'x+1/2,y+1/2,-z'
'y,-x+1/2,z'
'-y,x+1/2,-z'
'x,-y+1/2,-z'
'-x,y+1/2,z'
'-y+1/2,-x+1/2,-z'
'y+1/2,x+1/2,z'
'-x+1/2,y,-z'
'x+1/2,-y,z'
'y,x,-z'
'-y,-x,z'
loop_
_atom_site_label
_atom_site_fract_x
_atom_site_fract_y
_atom_site_fract_z
Tl1 0.2500 0.7500 0.2231
Sn1 0.2500 0.7500 0.5000
Pb1 0.0030 0.5030 0.4021
Pb2 0.0653 0.5653 0.0672
Pb3 0.2500 0.2500 0.1643
Pb4 0.2500 0.2500 0.3024

---

# 2
# KBe2InN | the Alexandria database | PBE | relaxed
# Energy relative to the lowest polymorph listed for this composition ... 247.1 meV/atom
data_KBe2InN
_cell_length_a 4.5805
_cell_length_b 4.5805
_cell_length_c 7.1090
_cell_angle_alpha 90.00
_cell_angle_beta 90.00
_cell_angle_gamma 90.00
_symmetry_space_group_name_H-M 'P 4/m m m'
_symmetry_Int_Tables_number 123
_symmetry_space_group_name_Hall '-P 4 2'
loop_
_atom_site_label
_atom_site_fract_x
_atom_site_fract_y
_atom_site_fract_z
K1 0.0000 0.0000 0.0000
Be1 0.0000 0.5000 0.5000
In1 0.0000 0.0000 0.5000
N1 0.5000 0.5000 0.0000

---

# 3
# Y3WI | the Alexandria database | PBE | relaxed
# Energy relative to the lowest polymorph listed for this composition ... 756.4 meV/atom
data_Y3WI
_cell_length_a 5.4549
_cell_length_b 5.4549
_cell_length_c 5.4549
_cell_angle_alpha 90.00
_cell_angle_beta 90.00
_cell_angle_gamma 90.00
_symmetry_space_group_name_H-M 'P m -3 m'
_symmetry_Int_Tables_number 221
_symmetry_space_group_name_Hall '-P 4 2 3'
loop_
_atom_site_label
_atom_site_fract_x
_atom_site_fract_y
_atom_site_fract_z
Y1 0.0000 0.0000 0.5000
W1 0.5000 0.5000 0.5000
I1 0.0000 0.0000 0.0000

---

# 4
# Er3AlCu4 | the Alexandria database | PBE | relaxed
# Formation enthalpy at 0 K ... -130.4 meV per atom
data_Er3AlCu4
_cell_length_a 3.7269
_cell_length_b 6.4324
_cell_length_c 13.7084
_cell_angle_alpha 90.00
_cell_angle_beta 90.00
_cell_angle_gamma 90.00
_symmetry_space_group_name_H-M 'I m m m'
_symmetry_Int_Tables_number 71
_symmetry_space_group_name_Hall '-I 2 2'
loop_
_atom_site_label
_atom_site_fract_x
_atom_site_fract_y
_atom_site_fract_z
Er1 0.0000 0.0000 0.0000
Er2 0.0000 0.5000 0.1909
Al1 0.0000 0.0000 0.5000
Cu1 0.0000 0.3047 0.3759

---

# 5
# Ac4Nd5Ho | the Alexandria database | PBE | relaxed
# Formation enthalpy at 0 K ... 37.5 meV per atom
data_Ac4Nd5Ho
_cell_length_a 3.8375
_cell_length_b 3.8375
_cell_length_c 26.1515
_cell_angle_alpha 90.00
_cell_angle_beta 90.00
_cell_angle_gamma 90.00
_symmetry_space_group_name_H-M 'P 4/m m m'
_symmetry_Int_Tables_number 123
_symmetry_space_group_name_Hall '-P 4 2'
loop_
_atom_site_label
_atom_site_fract_x
_atom_site_fract_y
_atom_site_fract_z
Ac1 0.0000 0.0000 0.1020
Ac2 0.0000 0.0000 0.3065
Nd1 0.5000 0.5000 0.0000
Nd2 0.5000 0.5000 0.2042
Nd3 0.5000 0.5000 0.4091
Ho1 0.0000 0.0000 0.5000

---

# 6
# TcMo2Ru | the Alexandria database | PBE | relaxed
# Formation enthalpy at 0 K ... 141.0 meV per atom
# Energy relative to the lowest polymorph listed for this composition ... 39.3 meV/atom
data_TcMo2Ru
_cell_length_a 3.5638
_cell_length_b 4.0780
_cell_length_c 8.3871
_cell_angle_alpha 90.00
_cell_angle_beta 90.00
_cell_angle_gamma 90.00
_symmetry_space_group_name_H-M 'C m m 2'
_symmetry_Int_Tables_number 35
loop_
_symmetry_equiv_pos_as_xyz
'x,y,z'
'-x,-y,z'
'-x,y,z'
'x,-y,z'
'x+1/2,y+1/2,z'
'-x+1/2,-y+1/2,z'
'-x+1/2,y+1/2,z'
'x+1/2,-y+1/2,z'
loop_
_atom_site_label
_atom_site_fract_x
_atom_site_fract_y
_atom_site_fract_z
Tc1 0.0000 0.0000 0.0000
Mo1 0.0000 0.0000 0.5316
Mo2 0.0000 0.5000 0.2609
Ru1 0.0000 0.5000 0.7798